1.
A plane-wave DFT calculation with PBE was carried out for a geometry-optimized BaPd2Au structure.

abc: 6.0531 7.1235 4.7169
angles: 90.00 90.00 90.00
Space group Cmmm (No. 65)
Unique sites:
Ba (0.0000, 0.0000, 0.0000) x2
Pd (0.0000, 0.3078, 0.5000) x4
Au (0.0000, 0.5000, 0.0000) x2

## Properties
E_form (eV/f.u.): -0.79
Magnetization (Bohr magnetons per cell): 0.000
Fermi-level density of states (states/eV per atom): 0.646

---

2.
A plane-wave DFT calculation with PBE was carried out for a geometry-optimized Ba5PdAu4 structure.

abc: 4.0169 4.0169 19.9968
angles: 90.00 90.00 90.00
Space group P4/mmm (No. 123)
Unique sites:
Ba (0.0000, 0.0000, 0.0000) x1
Ba (0.0000, 0.0000, 0.2025) x2
Ba (0.0000, 0.0000, 0.4050) x2
Pd (0.5000, 0.5000, 0.5000) x1
Au (0.5000, 0.5000, 0.1012) x2
Au (0.5000, 0.5000, 0.3027) x2

## Properties
E_form (eV/f.u.): -6.48
Magnetization (Bohr magnetons per cell): 0.000
Fermi-level density of states (states/eV per atom): 0.728

---

3.
A plane-wave DFT calculation with PBE was carried out for a geometry-optimized Ba11PdAu2 structure.

abc: 12.1045 15.9409 16.7799
angles: 90.00 90.00 90.00
Space group Ibam (No. 72)
Unique sites:
Ba (0.0000, 0.0000, 0.0000) x4
Ba (0.1163, 0.2913, 0.1635) x16
Ba (0.1251, 0.2215, 0.5000) x8
Ba (0.1880, 0.4531, 0.3738) x16
Pd (0.0000, 0.5000, 0.2500) x4
Au (0.1511, 0.1679, 0.0000) x8

## Properties
E_form (eV/f.u.): -2.04
Magnetization (Bohr magnetons per cell): 0.002
Fermi-level density of states (states/eV per atom): 1.384

---

4.
A plane-wave DFT calculation with PBE was carried out for a geometry-optimized Ba2Pd5Au12 structure.

abc: 9.7209 9.7209 14.0290
angles: 90.00 90.00 120.00
Space group R-3m (No. 166, hexagonal axes)
Unique sites:
Ba (0.0000, 0.0000, 0.1644) x6
Pd (0.0000, 0.0000, 0.4019) x6
Pd (0.0000, 0.5000, 0.0000) x9
Au (0.0000, 0.2955, 0.5000) x18
Au (0.0047, 0.5024, 0.3468) x18

## Properties
E_form (eV/f.u.): -6.21
Magnetization (Bohr magnetons per cell): 0.000
Fermi-level density of states (states/eV per atom): 0.350

---

5.
A plane-wave DFT calculation with PBE was carried out for a geometry-optimized Ba7PdAu4 structure.

abc: 15.5530 4.6306 14.1131
angles: 90.00 104.78 90.00
Space group Cm (No. 8)
Unique sites:
Ba (0.0000, 0.0000, 0.0000) x2
Ba (0.0230, 0.5000, 0.2810) x2
Ba (0.1018, 0.5000, 0.5903) x2
Ba (0.2186, 0.0000, 0.8565) x2
Ba (0.2516, 0.5000, 0.1407) x2
Ba (0.2916, 0.0000, 0.4165) x2
Ba (0.4105, 0.5000, 0.6861) x2
Pd (0.1403, 0.0000, 0.2120) x2
Au (0.0559, 0.5000, 0.8272) x2
Au (0.2560, 0.0000, 0.6375) x2
Au (0.3745, 0.0000, 0.0660) x2
Au (0.4566, 0.5000, 0.4519) x2

## Properties
E_form (eV/f.u.): -7.02
Magnetization (Bohr magnetons per cell): 0.000
Fermi-level density of states (states/eV per atom): 0.642

---

6.
A plane-wave DFT calculation with PBE was carried out for a geometry-optimized Ba3PdAu2 structure.

abc: 13.2750 4.7206 13.1706
angles: 90.00 90.00 90.00
Space group Pnma (No. 62)
Unique sites:
Ba (0.0524, 0.2500, 0.1285) x4
Ba (0.1176, 0.7500, 0.5555) x4
Ba (0.2207, 0.2500, 0.8038) x4
Pd (0.1268, 0.2500, 0.3740) x4
Au (0.0176, 0.7500, 0.3121) x4
Au (0.1900, 0.7500, 0.9943) x4

## Properties
E_form (eV/f.u.): -3.91
Magnetization (Bohr magnetons per cell): 0.000
Fermi-level density of states (states/eV per atom): 0.527

---

What did the sixth record say?
A plane-wave DFT calculation with PBE was carried out for a geometry-optimized Ba3PdAu2 structure.

abc: 13.2750 4.7206 13.1706
angles: 90.00 90.00 90.00
Space group Pnma (No. 62)
Unique sites:
Ba (0.0524, 0.2500, 0.1285) x4
Ba (0.1176, 0.7500, 0.5555) x4
Ba (0.2207, 0.2500, 0.8038) x4
Pd (0.1268, 0.2500, 0.3740) x4
Au (0.0176, 0.7500, 0.3121) x4
Au (0.1900, 0.7500, 0.9943) x4

## Properties
E_form (eV/f.u.): -3.91
Magnetization (Bohr magnetons per cell): 0.000
Fermi-level density of states (states/eV per atom): 0.527

---

Repeat the first record exactly.
A plane-wave DFT calculation with PBE was carried out for a geometry-optimized BaPd2Au structure.

abc: 6.0531 7.1235 4.7169
angles: 90.00 90.00 90.00
Space group Cmmm (No. 65)
Unique sites:
Ba (0.0000, 0.0000, 0.0000) x2
Pd (0.0000, 0.3078, 0.5000) x4
Au (0.0000, 0.5000, 0.0000) x2

## Properties
E_form (eV/f.u.): -0.79
Magnetization (Bohr magnetons per cell): 0.000
Fermi-level density of states (states/eV per atom): 0.646

---

Question: Look up the magnetization of the fourth one.
Answer: 0.000 Bohr magnetons per cell